# HgBi2Pb6

Crystalline HgBi2Pb6 at its relaxed geometry (PBE, Alexandria).

The structure belongs to space group P2_1/c (No. 14); the cell edges are 6.743, 9.854 and 8.670 Å and the angles 90.00°, 98.98° and 90.00°. The distinct sites, in fractional coordinates, are Hg at (0.000, 0.000, 0.000), Bi at (0.500, 0.170, 0.000), Pb at (0.173, 0.167, 0.668), Pb at (0.175, 0.665, 0.168) and Pb at (0.332, 0.501, 0.827).

Its crystal system is monoclinic. The calculation puts the formation energy at 3.6 kJ/mol of atoms.

***

# Hg3BiPb4

Crystalline Hg3BiPb4 at its relaxed geometry (PBE, Alexandria).

The structure belongs to space group P4/mmm (No. 123); the cell edges are 3.505, 3.505 and 18.879 Å and the angles 90.00°, 90.00° and 90.00°. The distinct sites, in fractional coordinates, are Hg at (0.000, 0.000, 0.000), Hg at (0.000, 0.000, 0.244), Bi at (0.000, 0.000, 0.500), Pb at (0.500, 0.500, 0.122) and Pb at (0.500, 0.500, 0.364).

Its crystal system is tetragonal. The calculation puts the formation energy at 3.7 kJ/mol of atoms.

***

# Hg2Bi2Pb7

Crystalline Hg2Bi2Pb7 at its relaxed geometry (PBE, Alexandria).

The structure belongs to space group C2/m (No. 12); the cell edges are 6.646, 11.833 and 8.996 Å and the angles 90.00°, 101.34° and 90.00°. The distinct sites, in fractional coordinates, are Hg at (0.000, 0.246, 0.000), Bi at (0.051, 0.500, 0.684), Pb at (0.000, 0.000, 0.500), Pb at (0.210, 0.236, 0.679) and Pb at (0.240, 0.000, 0.941).

Its crystal system is monoclinic. The calculation puts the formation energy at 5.5 kJ/mol of atoms.

***

# HgBi5Pb8

Crystalline HgBi5Pb8 at its relaxed geometry (PBE, Alexandria).

The structure belongs to space group I-4 (No. 82); the cell edges are 9.743, 9.743 and 9.824 Å and the angles 90.00°, 90.00° and 90.00°. The distinct sites, in fractional coordinates, are Hg at (0.000, 0.000, 0.000), Bi at (0.000, 0.500, 0.750), Bi at (0.118, 0.265, 0.364), Pb at (0.070, 0.171, 0.682) and Pb at (0.092, 0.325, 0.025).

Its crystal system is tetragonal. The calculation puts the formation energy at 2.9 kJ/mol of atoms.

***

# HgBi4Pb4

Crystalline HgBi4Pb4 at its relaxed geometry (PBE, Alexandria).

The structure belongs to space group I4/mmm (No. 139); the cell edges are 10.797, 10.797 and 4.814 Å and the angles 90.00°, 90.00° and 90.00°. The distinct sites, in fractional coordinates, are Hg at (0.000, 0.000, 0.000), Bi at (0.000, 0.332, 0.000) and Pb at (0.163, 0.163, 0.500).

Its crystal system is tetragonal. The calculation puts the formation energy at 5.4 kJ/mol of atoms.

***

# Hg2Bi3Pb8

Crystalline Hg2Bi3Pb8 at its relaxed geometry (PBE, Alexandria).

The structure belongs to space group C2/m (No. 12); the cell edges are 12.678, 11.573 and 6.014 Å and the angles 90.00°, 111.35° and 90.00°. The distinct sites, in fractional coordinates, are Hg at (0.068, 0.000, 0.260), Bi at (0.000, 0.249, 0.500), Bi at (0.000, 0.500, 0.000), Pb at (0.146, 0.500, 0.589), Pb at (0.147, 0.251, 0.124) and Pb at (0.203, 0.000, 0.807).

Its crystal system is monoclinic. The calculation puts the formation energy at 4.7 kJ/mol of atoms.